Compound: CaPm2Al2
Source: Alexandria via LeMat-Bulk
Functional: PBE
Structure: optimized geometry

* symmetry: Cmmm (65)
* energy of formation from the pure elements: -0.27 eV/atom

The structure in POSCAR format:
```
CaPm2Al2
1.0
3.8281 0.0000 0.0000
0.0000 4.3431 -1.2347
0.0000 0.1247 8.6945
Ca Pm Al
1 2 2
Direct
0.0000 0.0000 0.0000
0.5000 0.6409 0.2819
0.5000 0.3591 0.7181
0.0000 0.2048 0.4097
0.0000 0.7952 0.5903
```

Compound: CaPmAl2
Source: Alexandria via LeMat-Bulk
Functional: PBE
Structure: optimized geometry

* symmetry: P4/mmm (123)
* energy of formation from the pure elements: -0.28 eV/atom

The structure in POSCAR format:
```
CaPmAl2
1.0
-0.0810 -2.9763 -2.1426
3.0309 1.1523 -1.7152
4.2475 -3.7199 5.0068
Ca Al Pm
1 2 1
Direct
0.5000 0.5000 0.5000
0.0000 0.0000 0.7483
0.0000 0.0000 0.2517
0.5000 0.5000 0.0000
```